{"formula": "Tb6Cd2Co", "functional": "PBE", "state": "relaxed", "total_energy_ev_per_atom": -4.222, "ef_kj_per_mol_atoms": -13.7, "space_group": "No. 12", "mass_density_kg_m3": 8074, "magmom_total_mub_per_fu": 0.000, "lattice": [[6.063, -3.575, 0.000], [6.063, 3.575, 0.000], [-4.224, 0.000, 5.870]], "species": ["Tb", "Tb", "Tb", "Tb", "Tb", "Tb", "Cd", "Cd", "Co"], "fractional_positions": [[0.209, 0.713, 0.711], [0.247, 0.247, 0.819], [0.287, 0.791, 0.289], [0.713, 0.209, 0.711], [0.753, 0.753, 0.181], [0.791, 0.287, 0.289], [0.256, 0.256, 0.256], [0.744, 0.744, 0.744], [0.500, 0.500, 0.000]]}